First-principles (GGA+U) data for a relaxed structure of MnSbPbO6, as listed in Alexandria.

Results
Spin magnetization (μB per atom): 0.44
Total energy (eV for the cell shown): -110.25
Crystal system: trigonal
N(E_F) (states/eV per cell): 7.38

abc: 5.4099 5.4099 8.8842
angles: 90.00 90.00 120.00
Space group P-31c (No. 163)
One atom of each set of equivalent atoms:
Mn: 0.0000 0.0000 0.0000 [2 per cell]
Sb: 0.3333 0.6667 0.2500 [2 per cell]
Pb: 0.3333 0.6667 0.7500 [2 per cell]
O: 0.0250 0.3487 0.1252 [12 per cell]